# PBE ZnReMo2, relaxed
# Formation energy in eV/f.u.: 0.75
# Magnetic moment in μB per formula unit: 0.00
# ρ in Mg/m³: 11.9
# D(E_F) in states/eV/f.u.: 3.2
data_ZnReMo2
_chemical_formula_sum 'Zn3 Re3 Mo6'
_space_group_name_H-M_alt 'R -3 m'
_space_group_IT_number 166
_space_group_name_Hall '-R 3 2"'
_cell_length_a 2.7949
_cell_length_b 2.7949
_cell_length_c 27.3846
_cell_angle_alpha 90.00
_cell_angle_beta 90.00
_cell_angle_gamma 120.00
loop_
_atom_site_label
_atom_site_type_symbol
_atom_site_fract_x
_atom_site_fract_y
_atom_site_fract_z
Zn1 Zn 0.0000 0.0000 0.0000
Re1 Re 0.0000 0.0000 0.5000
Mo1 Mo 0.0000 0.0000 0.2482


# PBE BaLiHgS2, relaxed
# Uncorrected formation energy in eV/atom: -1.007
# Magnetic moment in μB per formula unit: 0.00
# ρ in Mg/m³: 4.8
# D(E_F) in states/eV/f.u.: 1.6
data_BaLiHgS2
_chemical_formula_sum 'Ba2 Li2 Hg2 S4'
_space_group_name_H-M_alt 'P 1 2/c 1'
_space_group_IT_number 13
_space_group_name_Hall '-P 2yc'
_cell_length_a 7.944
_cell_length_b 4.705
_cell_length_c 8.270
_cell_angle_alpha 90.00
_cell_angle_beta 114.53
_cell_angle_gamma 90.00
loop_
_atom_site_label
_atom_site_type_symbol
_atom_site_fract_x
_atom_site_fract_y
_atom_site_fract_z
Ba1 Ba 0.000 0.189 0.250
Li1 Li 0.500 0.489 0.250
Hg1 Hg 0.500 0.000 0.000
S1 S 0.224 0.323 0.017